Entry 1:
First-principles (PBE) data for an optimized crystal structure of Ce2Zn2GaNi5, as listed in Alexandria.

As for the formation enthalpy at 0 K: -0.213 eV/atom.

Cell lengths 9.8564, 9.8564, 3.1958 Å; angles 90.00, 90.00, 90.00 degrees
Last column: nearest neighbours and their distance in Å.
Space group P4/mbm (No. 127)
Unique sites:
Ce: 0.1749 0.3251 0.0000 x4  3 Zn 2.78-3.00, 6 Ni 2.91-3.05
Zn: 0.1260 0.6260 0.0000 x4  6 Ni 2.37-2.51
Ga: 0.0000 0.0000 0.0000 x2  8 Ni 2.52
Ni: 0.0000 0.5000 0.5000 x2  4 Zn 2.37
Ni: 0.0524 0.8088 0.5000 x8  2 Zn 2.51, 2 Ga 2.52, 2 Ni 2.76


Entry 2:
First-principles (PBE) data for an optimized crystal structure of Re2BPS, as listed in Alexandria.

As for the uncorrected formation energy: 2.13 eV per atom.

Cell lengths 4.3729, 4.3729, 4.2508 Å; angles 90.00, 90.00, 90.00 degrees
Last column: nearest neighbours and their distance in Å.
Space group P4/mmm (No. 123)
Unique sites:
Re: 0.0000 0.5000 0.0000 x2  2 S 2.19
B: 0.0000 0.0000 0.5000 x1  8 Re 3.05, 4 P 3.09
P: 0.5000 0.5000 0.5000 x1  2 S 2.13
S: 0.5000 0.5000 0.0000 x1  2 P 2.13, 4 Re 2.19


Entry 3:
First-principles (PBE) data for an optimized crystal structure of TbNdGeRu, as listed in Alexandria.

As for the formation enthalpy at 0 K: -0.573 eV/atom.

Cell lengths 3.8864, 4.3359, 11.1556 Å; angles 90.00, 90.00, 90.00 degrees
Last column: nearest neighbours and their distance in Å.
Space group Amm2 (No. 38)
Unique sites:
Tb: 0.0000 0.0000 0.0000 x2  4 Ru 2.96, 2 Ge 3.07
Nd: 0.5000 0.0000 0.2805 x2  1 Ru 2.97, 4 Ge 3.06
Ge: 0.0000 0.0000 0.6949 x2  2 Ru 2.55
Ru: 0.5000 0.0000 0.5465 x2  2 Ge 2.55


Entry 4:
First-principles (PBE) data for an optimized crystal structure of Pm2Mg3Tl3, as listed in Alexandria.

As for the formation enthalpy at 0 K: -0.264 eV/atom.

Cell lengths 4.8376, 4.8955, 8.8864 Å; angles 90.00, 90.00, 90.00 degrees
Last column: nearest neighbours and their distance in Å.
Space group Pmmm (No. 47)
Unique sites:
Pm: 0.0000 0.0000 0.2480 x2  6 Tl 3.27-3.30, 6 Mg 3.32-3.44
Mg: 0.0000 0.5000 0.5000 x1  4 Mg 3.27, 4 Pm 3.32, 4 Tl 3.44
Mg: 0.5000 0.5000 0.2521 x2  2 Mg 3.27, 6 Tl 3.29-3.32, 4 Pm 3.44
Tl: 0.0000 0.5000 0.0000 x1  4 Pm 3.29, 4 Mg 3.30, 4 Tl 3.44
Tl: 0.5000 0.0000 0.0000 x1  4 Pm 3.27, 4 Mg 3.32, 4 Tl 3.44
Tl: 0.5000 0.0000 0.5000 x1  8 Mg 3.29-3.44, 4 Pm 3.30